1.
# MgSeBr2 PBE-GGA optimized geometry
# - volume (Å³ per atom) = 33.417
# - DOS at the Fermi energy (states/eV/f.u.) = 2.604
# - total magnetic moment (μB/cell) = 0.851
# - formation energy from raw total energies (eV/atom) = -0.568
data_MgSeBr2
_symmetry_space_group_name_H-M 'P 1 2/m 1'
_symmetry_Int_Tables_number 10
_symmetry_space_group_name_Hall '-P 2y'
_cell_length_a 5.552
_cell_length_b 3.504
_cell_length_c 7.019
_cell_angle_alpha 90.00
_cell_angle_beta 101.82
_cell_angle_gamma 90.00
loop_
_atom_site_label
_atom_site_type_symbol
_atom_site_fract_x
_atom_site_fract_y
_atom_site_fract_z
Mg1 Mg 0.000 0.000 0.000
Se1 Se 0.500 0.000 0.000
Br1 Br 0.162 0.500 0.271

---

2.
# MgSeBr2 PBE-GGA optimized geometry
# - volume (Å³ per atom) = 23.925
# - DOS at the Fermi energy (states/eV/f.u.) = 5.454
# - total magnetic moment (μB/cell) = 2.170
# - formation energy from raw total energies (eV/atom) = -0.036
data_MgSeBr2
_symmetry_space_group_name_H-M 'F -4 3 m'
_symmetry_Int_Tables_number 216
_symmetry_space_group_name_Hall 'F -4 2 3'
_cell_length_a 7.261
_cell_length_b 7.261
_cell_length_c 7.261
_cell_angle_alpha 90.00
_cell_angle_beta 90.00
_cell_angle_gamma 90.00
loop_
_atom_site_label
_atom_site_type_symbol
_atom_site_fract_x
_atom_site_fract_y
_atom_site_fract_z
Mg1 Mg 0.000 0.000 0.000
Se1 Se 0.250 0.250 0.250
Br1 Br 0.000 0.000 0.500
Br2 Br 0.250 0.250 0.750

---

3.
# MgSe3Br PBE-GGA optimized geometry
# - volume (Å³ per atom) = 27.761
# - DOS at the Fermi energy (states/eV/f.u.) = 3.212
# - total magnetic moment (μB/cell) = 0.000
# - formation energy from raw total energies (eV/atom) = 0.541
data_MgSe3Br
_symmetry_space_group_name_H-M 'P m -3 m'
_symmetry_Int_Tables_number 221
_symmetry_space_group_name_Hall '-P 4 2 3'
_cell_length_a 5.178
_cell_length_b 5.178
_cell_length_c 5.178
_cell_angle_alpha 90.00
_cell_angle_beta 90.00
_cell_angle_gamma 90.00
loop_
_atom_site_label
_atom_site_type_symbol
_atom_site_fract_x
_atom_site_fract_y
_atom_site_fract_z
Mg1 Mg 0.000 0.000 0.000
Se1 Se 0.000 0.500 0.500
Br1 Br 0.500 0.500 0.500